First-principles (PBE-GGA) data for a geometry-optimized NaTc2NiIr structure, as listed in Alexandria via LeMat-Bulk.

space-group type	P4/mmm, No. 123
energy relative to the elements	2672	meV per atom
energy	-4.6665	eV/atom

a = 4.3850 Å, b = 4.3850 Å, c = 4.4402 Å
α = 90.00°, β = 90.00°, γ = 90.00°
Last column: nearest neighbours and their distance in Å.
Fractional coordinates of all 5 atoms:
Na  0.0000  0.0000  0.0000  4 Tc 2.19, 2 Ir 2.22
Tc  0.0000  0.5000  0.0000  2 Na 2.19
Tc  0.5000  0.0000  0.0000  2 Na 2.19
Ni  0.5000  0.5000  0.5000  4 Ir 3.10, 8 Tc 3.12
Ir  0.0000  0.0000  0.5000  2 Na 2.22